[1]
{
  "formula": "Cu2HgIr",
  "functional": "PBE",
  "state": "relaxed",
  "lattice": [[5.2028, 0.0322, 0.0353], [2.2765, 4.6785, -0.0353], [-3.1726, -3.2558, 2.5311]],
  "species": ["Cu", "Cu", "Hg", "Ir"],
  "frac_coords": [[0.0086, 0.0086, 0.0000], [0.4914, 0.4914, 0.0000], [0.7500, 0.2500, 0.5000], [0.2500, 0.7500, 0.5000]],
  "delta_e_f_ev_per_atom": 0.34,
  "e_above_lowest_polymorph_ev_per_atom": 0.097,
  "dos_at_fermi_per_ev_cell": 3.035
}


[2]
{
  "formula": "Cu2HgIr",
  "functional": "PBE",
  "state": "relaxed",
  "lattice": [[4.1884, 0.0000, 0.0000], [0.0000, 2.7828, -0.0094], [0.0000, 1.3892, 5.1168]],
  "species": ["Cu", "Cu", "Hg", "Ir"],
  "frac_coords": [[0.0000, 0.1982, 0.9824], [0.5000, 0.0610, 0.2484], [0.0000, 0.4514, 0.4719], [0.5000, 0.7893, 0.7974]],
  "delta_e_f_ev_per_atom": 0.30,
  "e_above_lowest_polymorph_ev_per_atom": 0.056,
  "dos_at_fermi_per_ev_cell": 3.238
}


[3]
{
  "formula": "CuHgIr2",
  "functional": "PBE",
  "state": "relaxed",
  "lattice": [[-1.4125, -1.3976, 2.0707], [1.9986, -2.0594, -0.0267], [3.9203, 3.7373, 5.1966]],
  "species": ["Cu", "Hg", "Ir", "Ir"],
  "frac_coords": [[0.5000, 0.5000, 0.2500], [0.5000, 0.5000, 0.7500], [0.0000, 0.0000, 0.0351], [0.0000, 0.0000, 0.4649]],
  "delta_e_f_ev_per_atom": 0.48,
  "e_above_lowest_polymorph_ev_per_atom": 0.240,
  "dos_at_fermi_per_ev_cell": 7.024
}